Entry from the Alexandria database: a relaxed SiW3 crystal (GGA-PBE).

Calculated values
uncorrected formation energy: 0.072 eV/atom

Geometry as extended XYZ:
```
4
Lattice="-1.6098 -2.2554 -0.2464 2.4831 -0.5514 -1.1265 2.7524 -2.7759 7.4254" Properties=species:S:1:pos:R:3 pbc="T T T"
Si 0.0000 0.0000 0.0000
W 2.5377 -3.5224 4.9818
W 1.3762 -1.3879 3.7127
W 1.0879 -2.0602 1.0706
```

---

Entry from the Alexandria database: a relaxed FeH3W crystal (GGA-PBE).

Calculated values
relative energy among the computed polymorphs: 0 meV per atom

Geometry as extended XYZ:
```
5
Lattice="-0.1375 1.4254 2.8846 -3.0987 -0.8362 0.2654 0.8664 -2.7642 1.4072" Properties=species:S:1:pos:R:3 pbc="T T T"
H -1.5493 -0.4181 0.1327
H 0.4332 -1.3821 0.7036
H -0.0688 0.7127 1.4423
Fe 0.0000 0.0000 0.0000
W -1.1849 -1.0875 2.2786
```

---

Entry from the Alexandria database: a relaxed Pr2Al4CdPt3 crystal (GGA-PBE).

Calculated values
E_form: -919.4 meV/atom

Geometry as extended XYZ:
```
10
Lattice="4.3442 0.0000 0.0000 0.0000 4.3442 0.0000 0.0000 0.0000 10.6773" Properties=species:S:1:pos:R:3 pbc="T T T"
Pr 2.1721 0.0000 2.5709
Pr 0.0000 2.1721 8.1064
Al 2.1721 2.1721 0.0000
Al 0.0000 0.0000 0.0000
Al 2.1721 0.0000 6.8472
Al 0.0000 2.1721 3.8301
Cd 2.1721 2.1721 5.3386
Pt 0.0000 0.0000 5.3386
Pt 2.1721 0.0000 9.3251
Pt 0.0000 2.1721 1.3522
```

---

Entry from the Alexandria database: a relaxed Ba3TlRh crystal (GGA-PBE).

Calculated values
relative energy among the computed polymorphs: 28 meV per atom
E_form: -181.0 meV/atom

Geometry as extended XYZ:
```
5
Lattice="-1.8034 -3.2401 -4.7338 -2.3744 -4.0956 3.7078 -5.2220 2.9812 -0.0511" Properties=species:S:1:pos:R:3 pbc="T T T"
Tl -4.6999 -2.1772 -0.5385
Rh 0.0000 0.0000 0.0000
Ba -1.1872 -2.0478 1.8539
Ba -2.6110 1.4906 -0.0255
Ba -0.9017 -1.6201 -2.3669
```

---

Entry from the Alexandria database: a relaxed MnPIr2 crystal (GGA-PBE).

Calculated values
E_form: -126.3 meV/atom

Geometry as extended XYZ:
```
4
Lattice="-0.0156 -0.8694 -2.7260 2.1736 -1.7764 0.5541 -4.4293 -4.9222 1.5951" Properties=species:S:1:pos:R:3 pbc="T T T"
Ir -4.2835 -4.7601 1.5425
Ir -2.3606 -2.6232 0.8501
Mn -0.0283 -2.5534 -0.6872
P -2.2430 -5.0145 0.1103
```

---

Entry from the Alexandria database: a relaxed Th2FeTc3 crystal (GGA-PBE).

Calculated values
E_form: -101.6 meV/atom

Geometry as extended XYZ:
```
6
Lattice="-3.7059 -2.2684 -2.9850 3.9257 2.2507 -2.7044 3.1498 -3.3204 2.9810" Properties=species:S:1:pos:R:3 pbc="T T T"
Th -0.9102 -1.2925 -2.8801
Th 4.2797 -2.0456 0.1717
Fe 0.0000 0.0000 0.0000
Tc 1.6847 -1.6691 -1.3542
Tc 1.5749 -1.6602 1.4905
Tc -0.2781 -2.7944 -0.0020
```

---

Entry from the Alexandria database: a relaxed TlGaP2O crystal (GGA-PBE).

Calculated values
relative energy among the computed polymorphs: 716 meV per atom
uncorrected formation energy: 0.935 eV/atom

Geometry as extended XYZ:
```
5
Lattice="-2.1967 4.3943 1.8129 -4.3291 -1.0244 -2.7626 -1.5509 -2.0990 3.2087" Properties=species:S:1:pos:R:3 pbc="T T T"
P -2.1645 -0.5122 -1.3813
P -1.0984 2.1972 0.9064
Tl 0.0000 0.0000 0.0000
O -0.7754 -1.0495 1.6043
Ga -4.0384 0.6355 1.1295
```

---

Entry from the Alexandria database: a relaxed SrMgN3 crystal (GGA-PBE).

Calculated values
uncorrected formation energy: 0.765 eV/atom

Geometry as extended XYZ:
```
5
Lattice="4.1158 0.0000 0.0000 0.0000 4.1158 0.0000 0.0000 0.0000 4.1158" Properties=species:S:1:pos:R:3 pbc="T T T"
Sr 2.0579 2.0579 2.0579
Mg 0.0000 0.0000 0.0000
N 0.0000 2.0579 0.0000
N 0.0000 0.0000 2.0579
N 2.0579 0.0000 0.0000
```

---

Entry from the Alexandria database: a relaxed La6Ga3O crystal (GGA-PBE).

Calculated values
uncorrected formation energy: -0.846 eV/atom

Geometry as extended XYZ:
```
20
Lattice="-3.8181 -4.2076 -3.4930 6.5764 -2.1287 -4.6242 1.6570 -8.0940 6.0825" Properties=species:S:1:pos:R:3 pbc="T T T"
La 0.0565 -10.7915 2.7742
La -0.0258 -7.6286 0.2567
La 0.8960 -5.8360 -2.6725
La 3.5192 -8.5943 0.6377
La 4.4410 -6.8018 -2.2915
La 4.3587 -3.6388 -4.8090
La 2.4256 -5.0578 0.5734
La 1.5128 -1.6260 -1.3601
La 1.0885 -6.9554 3.9048
La 3.3267 -7.4749 -5.9396
La 2.9025 -12.8043 -0.6747
La 1.9896 -9.3725 -2.6082
Ga 4.8413 -10.3301 -1.6626
Ga 1.3791 -3.1681 -4.0586
Ga -0.4260 -4.1002 -0.3722
Ga 4.0879 -3.5857 -1.6679
Ga 0.8285 -4.0470 3.0412
Ga 0.3273 -10.8446 -0.3669
O 2.2076 -7.2152 -1.0174
O 0.0000 0.0000 0.0000
```

---

Entry from the Alexandria database: a relaxed CePr12Dy3 crystal (GGA-PBE).

Calculated values
E_form: 31.1 meV/atom

Geometry as extended XYZ:
```
16
Lattice="5.1967 0.0000 0.0000 0.0000 5.1967 0.0000 0.0000 0.0000 20.7413" Properties=species:S:1:pos:R:3 pbc="T T T"
Ce 0.0000 0.0000 0.0000
Pr 2.5983 2.5983 0.0000
Pr 2.5983 2.5983 5.2121
Pr 2.5983 2.5983 10.3707
Pr 2.5983 2.5983 15.5292
Pr 2.5983 0.0000 2.5747
Pr 2.5983 0.0000 7.7741
Pr 2.5983 0.0000 12.9672
Pr 2.5983 0.0000 18.1666
Pr 0.0000 2.5983 2.5747
Pr 0.0000 2.5983 7.7741
Pr 0.0000 2.5983 12.9672
Pr 0.0000 2.5983 18.1666
Dy 0.0000 0.0000 5.1845
Dy 0.0000 0.0000 10.3707
Dy 0.0000 0.0000 15.5568
```

---

Entry from the Alexandria database: a relaxed Er2Fe3Os crystal (GGA-PBE).

Calculated values
E_form: -209.1 meV/atom

Geometry as extended XYZ:
```
6
Lattice="4.5454 -0.1410 -2.3910 -2.8916 4.2415 -0.2129 -0.1696 0.1523 5.1880" Properties=species:S:1:pos:R:3 pbc="T T T"
Er 2.3033 1.5036 -1.2250
Er -0.8191 2.7492 3.8093
Fe 0.7421 2.1264 1.2921
Fe -0.0848 0.0762 2.5940
Fe 2.1879 0.0057 1.3985
Os 0.0000 0.0000 0.0000
```

---

Entry from the Alexandria database: a relaxed As4PbSe crystal (GGA-PBE).

Calculated values
uncorrected formation energy: 0.275 eV/atom

Geometry as extended XYZ:
```
6
Lattice="0.7014 1.0138 5.8014 -3.2931 -2.9587 3.9469 2.5007 -4.1253 3.4503" Properties=species:S:1:pos:R:3 pbc="T T T"
As 0.3700 -1.5823 8.0350
As 1.4027 -4.5316 6.6858
As -1.9224 -3.8621 6.9707
As -0.0325 -2.1642 4.7057
Pb -0.0683 -4.5526 9.8989
Se 0.0000 0.0000 0.0000
```

---

Entry from the Alexandria database: a relaxed V2HRh crystal (GGA-PBE).

Calculated values
relative energy among the computed polymorphs: 224 meV per atom

Geometry as extended XYZ:
```
4
Lattice="2.7034 0.0000 0.0000 0.0000 2.7034 0.0000 0.0000 0.0000 6.0208" Properties=species:S:1:pos:R:3 pbc="T T T"
H 1.3517 1.3517 0.0000
Rh 1.3517 1.3517 3.0104
V 0.0000 0.0000 4.8497
V 0.0000 0.0000 1.1712
```

---

Entry from the Alexandria database: a relaxed LiTbNdNi crystal (GGA-PBE).

Calculated values
E_form: -80.7 meV/atom

Geometry as extended XYZ:
```
4
Lattice="-4.7916 -1.1607 -0.9310 -1.1631 -2.8847 -3.9369 -1.6309 -4.6897 0.7211" Properties=species:S:1:pos:R:3 pbc="T T T"
Nd -3.7928 -4.3676 -2.0734
Li -5.6892 -6.5514 -3.1100
Tb 0.0000 0.0000 0.0000
Ni -1.8964 -2.1838 -1.0367
```

---

Entry from the Alexandria database: a relaxed HoTh2Mg crystal (GGA-PBE).

Calculated values
relative energy among the computed polymorphs: 135 meV per atom
E_form: 142.4 meV/atom

Geometry as extended XYZ:
```
4
Lattice="5.5360 0.0000 0.0000 2.7680 4.7943 0.0000 2.7680 1.5981 4.5201" Properties=species:S:1:pos:R:3 pbc="T T T"
Mg 5.5360 3.1962 2.2601
Ho 0.0000 0.0000 0.0000
Th 2.7680 1.5981 1.1300
Th 8.3040 4.7943 3.3901
```

---

Entry from the Alexandria database: a relaxed SrAuO2 crystal (GGA-PBE).

Calculated values
uncorrected formation energy: -1.512 eV/atom

Geometry as extended XYZ:
```
8
Lattice="6.1411 0.0005 0.0003 -1.9508 5.8230 0.0003 0.0013 0.0018 3.6732" Properties=species:S:1:pos:R:3 pbc="T T T"
Sr -0.9754 2.9115 0.0001
Sr 3.0706 0.0003 0.0001
Au 0.0007 0.0009 1.8366
Au 2.0958 2.9127 1.8369
O 0.4195 4.1189 1.8369
O 3.7722 1.7065 1.8369
O 3.1509 4.3790 0.8202
O 1.0407 1.4464 2.8535
```

---

Entry from the Alexandria database: a relaxed CaTe2OsI crystal (GGA-PBE).

Calculated values
relative energy among the computed polymorphs: 0 meV per atom
uncorrected formation energy: 0.096 eV/atom

Geometry as extended XYZ:
```
5
Lattice="5.2709 0.0000 0.0000 0.0000 5.2709 0.0000 0.0000 0.0000 5.6055" Properties=species:S:1:pos:R:3 pbc="T T T"
I 0.0000 0.0000 2.8027
Ca 2.6355 2.6355 2.8027
Te 0.0000 2.6355 0.0000
Te 2.6355 0.0000 0.0000
Os 0.0000 0.0000 0.0000
```

---

Entry from the Alexandria database: a relaxed BaPtBr2 crystal (GGA-PBE).

Calculated values
relative energy among the computed polymorphs: 555 meV per atom
uncorrected formation energy: -0.494 eV/atom

Geometry as extended XYZ:
```
4
Lattice="4.3117 -0.1453 0.0000 -1.4320 4.0695 0.0000 0.0000 0.0000 7.1415" Properties=species:S:1:pos:R:3 pbc="T T T"
Br 0.0000 0.0000 0.1796
Br 0.0000 0.0000 3.3912
Ba 1.4398 1.9621 5.3561
Pt 1.4398 1.9621 1.7854
```

---

Entry from the Alexandria database: a relaxed Mn2CdCo crystal (GGA-PBE).

Calculated values
E_form: 143.3 meV/atom

Geometry as extended XYZ:
```
4
Lattice="-0.0292 -2.8534 0.8702 1.6443 -0.7412 -2.3763 5.5644 1.0201 3.5320" Properties=species:S:1:pos:R:3 pbc="T T T"
Cd 2.1986 -1.5423 0.1299
Co 4.9808 -1.0323 1.8959
Mn 5.3255 0.9763 3.3804
Mn 3.0210 0.5538 1.9176
```

---

Entry from the Alexandria database: a relaxed Na3U3BiTe8 crystal (GGA-PBE).

Calculated values
uncorrected formation energy: -0.684 eV/atom

Geometry as extended XYZ:
```
15
Lattice="8.8741 0.0000 0.0000 -4.4370 7.6874 -0.0336 0.0000 -5.0991 7.6287" Properties=species:S:1:pos:R:3 pbc="T T T"
Na 0.0000 0.0000 0.0000
Na -2.2185 3.8437 -0.0168
Na 2.2185 3.8437 -0.0168
U 4.4370 -2.5496 3.8144
U 2.2185 1.2942 3.7975
U -2.2185 1.2942 3.7975
Bi 0.0000 -2.5496 3.8144
Te 0.0000 2.5702 1.9959
Te 4.4370 0.0181 5.5992
Te 4.4370 2.5036 1.9869
Te 0.0000 0.0848 5.6082
Te 6.5984 -1.2428 2.0082
Te -2.1613 3.8312 5.5869
Te 2.2757 -1.2428 2.0082
Te 2.1613 3.8312 5.5869
```

---

Entry from the Alexandria database: a relaxed Ca3U3OsN8 crystal (GGA-PBE).

Calculated values
uncorrected formation energy: -0.989 eV/atom

Geometry as extended XYZ:
```
15
Lattice="6.7142 0.0002 0.0001 -3.3569 5.8147 -0.0196 0.0000 -3.8572 5.6731" Properties=species:S:1:pos:R:3 pbc="T T T"
Ca 0.0000 0.0000 0.0000
Ca -1.6785 2.9073 -0.0098
Ca 1.6786 2.9074 -0.0098
U 3.3571 -1.9285 2.8366
U 1.6786 0.9788 2.8268
U -1.6785 0.9787 2.8267
Os 0.0000 -1.9286 2.8366
N 0.0001 1.9427 1.5569
N 3.3572 0.0149 4.0967
N 3.3572 1.9502 1.6914
N 0.0000 0.0074 3.9622
N 5.0404 -0.9666 1.7008
N -1.6831 2.9242 3.9528
N 1.6738 -0.9667 1.7007
N 1.6834 2.9243 3.9529
```

---

Entry from the Alexandria database: a relaxed Pu2CuRu3 crystal (GGA-PBE).

Calculated values
E_form: -106.7 meV/atom

Geometry as extended XYZ:
```
6
Lattice="4.7408 -0.1354 -2.4861 -3.0124 4.4209 -0.2352 -0.2963 0.0623 5.1939" Properties=species:S:1:pos:R:3 pbc="T T T"
Pu 2.3979 1.5713 -1.2865
Pu -0.9658 2.7765 3.7591
Cu 0.0000 0.0000 0.0000
Ru 0.7160 2.1739 1.2363
Ru -0.1482 0.0312 2.5969
Ru 2.2222 -0.0365 1.3539
```

---

Entry from the Alexandria database: a relaxed SiPb2O crystal (GGA-PBE).

Calculated values
relative energy among the computed polymorphs: 244 meV per atom
uncorrected formation energy: 0.214 eV/atom

Geometry as extended XYZ:
```
4
Lattice="-3.2917 -2.4933 2.5435 -4.3333 1.9641 0.9411 -3.9690 -1.7168 -2.1957" Properties=species:S:1:pos:R:3 pbc="T T T"
Pb -2.8985 -0.5615 0.3222
Pb -8.6955 -1.6845 0.9666
Si -5.7970 -1.1230 0.6444
O 0.0000 0.0000 0.0000
```

---

Entry from the Alexandria database: a relaxed Cs2AgBI6 crystal (GGA-PBE).

Calculated values
uncorrected formation energy: -0.461 eV/atom

Geometry as extended XYZ:
```
10
Lattice="-5.9103 2.6434 6.2712 -0.9598 -8.5468 2.6980 0.5404 -2.3018 7.9574" Properties=species:S:1:pos:R:3 pbc="T T T"
Cs -4.4025 -1.3051 9.3566
Cs -1.9272 -6.9002 7.5700
I -1.9012 -2.7010 5.8245
I -4.4285 -5.5043 11.1021
I -1.5776 -1.3556 2.0597
I -5.2925 -4.5477 6.9095
I -4.7735 0.0737 5.4507
I -2.0966 -5.9771 3.5185
B -3.4351 -2.9517 4.4846
Ag 0.0000 0.0000 0.0000
```

---

Entry from the Alexandria database: a relaxed SnCS3 crystal (GGA-PBE).

Calculated values
relative energy among the computed polymorphs: 0 meV per atom
uncorrected formation energy: 0.909 eV/atom

Geometry as extended XYZ:
```
5
Lattice="-1.2034 -3.7944 -1.5655 3.7625 -1.6718 1.1598 -1.6407 -1.0507 3.8080" Properties=species:S:1:pos:R:3 pbc="T T T"
C 0.0000 0.0000 0.0000
S 1.8813 -0.8359 0.5799
S -0.8203 -0.5254 1.9040
S -0.6017 -1.8972 -0.7827
Sn 0.4592 -3.2585 1.7012
```

---

The records above give, respectively, volume values of 15.38, 6.68, 20.15, 43.49, 13.94, 19.06, 22.68, 13.94, 28.33, 35.01, 16.23, 24.59, 11.00, 22.33, 29.99, 16.42, 31.15, 30.96, 14.84, 34.59, 14.73, 17.33, 20.17, 43.21, 15.65 A^3/atom.